Entry 1:
{
  "formula": "Th2Cd2C",
  "functional": "GGA-PBE",
  "state": "relaxed",
  "lattice_angstrom": [[4.3776, 0.0000, -0.5893], [-0.0793, 4.3769, -0.5893], [-0.4235, -0.4312, 13.4081]],
  "species": ["Th", "Th", "Th", "Th", "Cd", "Cd", "Cd", "Cd", "C", "C"],
  "fractional_positions": [[0.9598, 0.4598, 0.9197], [0.7098, 0.7098, 0.4197], [0.2902, 0.2902, 0.5803], [0.5402, 0.0402, 0.0803], [0.8424, 0.8424, 0.6848], [0.0924, 0.5924, 0.1848], [0.4076, 0.9076, 0.8152], [0.1576, 0.1576, 0.3152], [0.5000, 0.5000, 0.0000], [0.7500, 0.2500, 0.5000]],
  "formation_energy_kj_per_mol_atoms": -2,
  "space_group": "I4_1/amd, No. 141"
}


Entry 2:
{
  "formula": "BeFeAg2",
  "functional": "GGA-PBE",
  "state": "relaxed",
  "lattice_angstrom": [[4.5449, -0.0003, 0.0000], [-0.7893, 4.4759, 0.0000], [0.0000, 0.0000, 2.8239]],
  "species": ["Be", "Fe", "Ag", "Ag"],
  "fractional_positions": [[0.5000, 0.0000, 0.5000], [0.0000, 0.5000, 0.5000], [0.0000, 0.0000, 0.0000], [0.5000, 0.5000, 0.0000]],
  "formation_energy_kj_per_mol_atoms": 41,
  "space_group": "Cmmm, No. 65"
}


Entry 3:
{
  "formula": "BeFeRe2",
  "functional": "GGA-PBE",
  "state": "relaxed",
  "lattice_angstrom": [[-3.1092, 2.7191, 0.4336], [-3.1863, -0.8730, 2.5168], [-0.4590, 2.0782, 3.5664]],
  "species": ["Re", "Re", "Fe", "Be"],
  "fractional_positions": [[0.0000, 0.0000, 0.0000], [0.7500, 0.7500, 0.7500], [0.2500, 0.2500, 0.2500], [0.5000, 0.5000, 0.5000]],
  "formation_energy_kj_per_mol_atoms": 9,
  "space_group": "F-43m, No. 216"
}


Entry 4:
{
  "formula": "TmBiRu2",
  "functional": "GGA-PBE",
  "state": "relaxed",
  "lattice_angstrom": [[4.7018, 0.0000, 0.0000], [2.3509, 4.0719, 0.0000], [2.3509, 1.3573, 3.8390]],
  "species": ["Ru", "Ru", "Tm", "Bi"],
  "fractional_positions": [[0.2500, 0.2500, 0.2500], [0.7500, 0.7500, 0.7500], [0.0000, 0.0000, 0.0000], [0.5000, 0.5000, 0.5000]],
  "de_polymorph_ev_per_atom": 0.000,
  "formation_energy_kj_per_mol_atoms": -22,
  "space_group": "Fm-3m, No. 225"
}


Entry 5:
{
  "formula": "TaSbMo",
  "functional": "GGA-PBE",
  "state": "relaxed",
  "lattice_angstrom": [[4.6530, 0.0000, 0.0000], [0.0000, 3.4323, 0.0000], [-1.2475, 0.0000, 6.9937]],
  "species": ["Ta", "Ta", "Sb", "Sb", "Mo", "Mo"],
  "fractional_positions": [[0.7430, 0.2500, 0.4799], [0.2570, 0.7500, 0.5201], [0.1664, 0.2500, 0.1846], [0.8336, 0.7500, 0.8154], [0.3361, 0.2500, 0.8233], [0.6639, 0.7500, 0.1767]],
  "de_polymorph_ev_per_atom": 0.151,
  "formation_energy_uncorrected_ev_per_atom": 0.07,
  "space_group": "P2_1/m, No. 11"
}


Entry 6:
{
  "formula": "Mo2RuW",
  "functional": "GGA-PBE",
  "state": "relaxed",
  "lattice_angstrom": [[5.1951, -0.0078, -0.0036], [-2.3896, 4.6129, -0.0036], [0.4719, 0.7747, 2.5879]],
  "species": ["Mo", "Mo", "Ru", "W"],
  "fractional_positions": [[0.0000, 0.0000, 0.0000], [0.5000, 0.5000, 0.0000], [0.5000, 0.0000, 0.5000], [0.0000, 0.5000, 0.5000]],
  "de_polymorph_ev_per_atom": 0.006,
  "formation_energy_kj_per_mol_atoms": 11,
  "space_group": "C2/m, No. 12"
}


What is the formula in the second record? BeFeAg2


What is the formula in the sixth record? Mo2RuW


Number 2 is which compound? BeFeAg2